LaTe2Au, single point on PBEsol structure, DFT SCAN; symmetry = Pm; formation energy (no corrections) = -4.6 eV/f.u.
1.0
4.137 0.000 0.000
0.000 4.519 0.000
-1.920 0.000 6.226
La Te Au
1 2 1
Direct
0.000 0.000 0.000
0.248 0.000 0.556
0.600 0.500 0.203
0.405 0.500 0.773

=====

LaTe3Au, single point on PBEsol structure, DFT SCAN; symmetry = Pm-3m; formation energy (no corrections) = -2.9 eV/f.u.
1.0
5.358 0.000 0.000
0.000 5.358 0.000
0.000 0.000 5.358
La Te Au
1 3 1
Direct
0.000 0.000 0.000
0.000 0.500 0.500
0.500 0.000 0.500
0.500 0.500 0.000
0.500 0.500 0.500

=====

La3TiAu, single point on PBEsol structure, DFT SCAN; symmetry = Pm-3m; calculated formation energy = 0.69 eV/f.u.
1.0
5.702 0.000 0.000
0.000 5.702 0.000
0.000 0.000 5.702
La Ti Au
3 1 1
Direct
0.000 0.000 0.500
0.000 0.500 0.000
0.500 0.000 0.000
0.500 0.500 0.500
0.000 0.000 0.000

=====

La2TlAu, single point on PBEsol structure, DFT SCAN; symmetry = P4/mmm; calculated formation energy = -3.03 eV/f.u.
1.0
5.131 0.000 0.000
0.000 5.131 0.000
0.000 0.000 4.160
La Tl Au
2 1 1
Direct
0.000 0.500 0.000
0.500 0.000 0.000
0.000 0.000 0.500
0.500 0.500 0.500

=====

The total energy results, record by record, are as follows: -47.833 -45.384 -42.762 -57.689 eV per atom.